DyYAl | GGA-PBE | relaxed

## Properties
- E above lowest polymorph: 35 kJ/mol of formula units
- Final energy: -5.096 eV/atom
- ΔH_f (0 K): -0.48 eV per formula unit

CIF file:
```
data_DyYAl
_chemical_formula_sum 'Dy1 Y1 Al1'
_cell_length_a 5.0667
_cell_length_b 5.0667
_cell_length_c 3.5726
_cell_angle_alpha 90.00
_cell_angle_beta 90.00
_cell_angle_gamma 120.00
_symmetry_space_group_name_H-M 'P 3 m 1'
_symmetry_Int_Tables_number 156
loop_
_symmetry_equiv_pos_as_xyz
'x,y,z'
'-y,x-y,z'
'-x+y,-x,z'
'-y,-x,z'
'-x+y,y,z'
'x,x-y,z'
loop_
_atom_site_label
_atom_site_type_symbol
_atom_site_fract_x
_atom_site_fract_y
_atom_site_fract_z
Dy1 Dy 0.0000 0.0000 0.0000
Y1 Y 0.3333 0.6667 0.4408
Al1 Al 0.6667 0.3333 0.7262
```